1.
Here is crystalline BaLa2Ce3Te6 at its relaxed geometry from the Alexandria database. Energies are from PBE.

Results
E in eV/cell: -132.33
E_form (uncorrected) in kJ/mol of formula units: -1711.1
ρ in kg/m³: 6428

a = 20.1254 Å, b = 4.5608 Å, c = 9.2926 Å
α = 90.00°, β = 104.10°, γ = 90.00°
Space group C2/m (No. 12)
Asymmetric unit:
Ba1 0.0000 0.0000 0.0000 [2 per cell]
La1 0.1697 0.5000 0.3384 [4 per cell]
Ce1 0.0000 0.0000 0.5000 [2 per cell]
Ce2 0.1646 0.5000 0.8288 [4 per cell]
Te1 0.0012 0.5000 0.2661 [4 per cell]
Te2 0.1643 0.0000 0.5854 [4 per cell]
Te3 0.1727 0.0000 0.0831 [4 per cell]

***

2.
Here is crystalline BaLa3Sc at its relaxed geometry from the Alexandria database. Energies are from PBE.

Results
E in eV/cell: -21.07
ρ in kg/m³: 4617
E above lowest polymorph in meV per atom: 0

a = 5.9948 Å, b = 5.9948 Å, c = 5.9948 Å
α = 90.00°, β = 90.00°, γ = 90.00°
Space group Pm-3m (No. 221)
Asymmetric unit:
Ba1 0.0000 0.0000 0.0000 [1 per cell]
La1 0.0000 0.5000 0.5000 [3 per cell]
Sc1 0.5000 0.5000 0.5000 [1 per cell]

***

3.
Here is crystalline K3In2Sn4 at its relaxed geometry from the Alexandria database. Energies are from PBE.

Results
E in eV/cell: -52.66
ρ in kg/m³: 4039
E above lowest polymorph in meV per atom: 0

a = 13.9060 Å, b = 4.8548 Å, c = 10.0304 Å
α = 90.00°, β = 93.67°, γ = 90.00°
Space group C2/m (No. 12)
Asymmetric unit:
K1 0.0000 0.0000 0.0000 [2 per cell]
K2 0.1635 0.5000 0.6634 [4 per cell]
In1 0.0960 0.5000 0.2624 [4 per cell]
Sn1 0.0727 0.0000 0.4044 [4 per cell]
Sn2 0.2458 0.5000 0.0793 [4 per cell]

***

4.
Here is crystalline Ca2Y3Mg2 at its relaxed geometry from the Alexandria database. Energies are from PBE.

Results
E in eV/cell: -53.21
ρ in kg/m³: 2893

a = 3.7392 Å, b = 33.2591 Å, c = 3.6505 Å
α = 90.00°, β = 90.00°, γ = 90.00°
Space group Cmmm (No. 65)
Asymmetric unit:
Ca1 0.0000 0.2000 0.0000 [4 per cell]
Y1 0.0000 0.0729 0.0000 [4 per cell]
Y2 0.0000 0.5000 0.5000 [2 per cell]
Mg1 0.0000 0.3656 0.5000 [4 per cell]

***

5.
Here is crystalline Si2SbRu at its relaxed geometry from the Alexandria database. Energies are from PBE.

Results
E in eV/cell: -23.47
E_form (uncorrected) in kJ/mol of formula units: 74.3
ρ in kg/m³: 6244

a = 3.9688 Å, b = 4.2429 Å, c = 4.4629 Å
α = 90.00°, β = 99.17°, γ = 90.00°
Space group P2/m (No. 10)
Asymmetric unit:
Si1 0.1019 0.0000 0.2594 [2 per cell]
Sb1 0.5000 0.5000 0.0000 [1 per cell]
Ru1 0.0000 0.5000 0.5000 [1 per cell]

***

6.
Here is crystalline Y2ScZn2 at its relaxed geometry from the Alexandria database. Energies are from PBE.

Results
E in eV/cell: -46.00
ρ in kg/m³: 4900
E above lowest polymorph in meV per atom: 0

a = 7.9850 Å, b = 7.9850 Å, c = 3.7586 Å
α = 90.00°, β = 90.00°, γ = 90.00°
Space group P4/mbm (No. 127)
Asymmetric unit:
Y1 0.1708 0.3292 0.0000 [4 per cell]
Sc1 0.0000 0.0000 0.5000 [2 per cell]
Zn1 0.1271 0.6271 0.5000 [4 per cell]

***

7.
Here is crystalline SrCo3Se at its relaxed geometry from the Alexandria database. Energies are from PBE.

Results
E in eV/cell: -16.05
E_form (uncorrected) in kJ/mol of formula units: 1006.5
ρ in kg/m³: 5172
E above lowest polymorph in meV per atom: 1811

a = 4.7949 Å, b = 4.7949 Å, c = 4.7949 Å
α = 90.00°, β = 90.00°, γ = 90.00°
Space group Pm-3m (No. 221)
Asymmetric unit:
Sr1 0.0000 0.0000 0.0000 [1 per cell]
Co1 0.0000 0.0000 0.5000 [3 per cell]
Se1 0.5000 0.5000 0.5000 [1 per cell]

***

8.
Here is crystalline AcTl2Zn at its relaxed geometry from the Alexandria database. Energies are from PBE.

Results
E in eV/cell: -10.47
ρ in kg/m³: 10193

a = 3.8560 Å, b = 3.8560 Å, c = 7.6824 Å
α = 90.00°, β = 90.00°, γ = 90.00°
Space group P4/mmm (No. 123)
Asymmetric unit:
Ac1 0.0000 0.0000 0.0000 [1 per cell]
Tl1 0.5000 0.5000 0.2955 [2 per cell]
Zn1 0.0000 0.0000 0.5000 [1 per cell]